Here is crystalline Nd2Y2Er3 at its relaxed geometry from Alexandria. Energies are from PBE.

abc: 16.720 3.519 8.733
angles: 90.00 116.31 90.00
Space group C2/m (No. 12)
Asymmetric unit:
Nd (0.080, 0.000, 0.203) [4 per cell]
Y (0.139, 0.500, 0.906) [4 per cell]
Er (0.000, 0.000, 0.500) [2 per cell]
Er (0.220, 0.000, 0.646) [4 per cell]

***

Here is crystalline Nd5Y3Er at its relaxed geometry from Alexandria. Energies are from PBE.

abc: 20.181 6.312 11.783
angles: 90.00 122.57 90.00
Space group C2/c (No. 15)
Asymmetric unit:
Nd (0.000, 0.091, 0.250) [4 per cell]
Nd (0.139, 0.173, 0.661) [8 per cell]
Nd (0.180, 0.319, 0.333) [8 per cell]
Y (0.000, 0.500, 0.000) [4 per cell]
Y (0.175, 0.276, 0.026) [8 per cell]
Er (0.000, 0.399, 0.750) [4 per cell]

***

Here is crystalline Nd8YEr2 at its relaxed geometry from Alexandria. Energies are from PBE.

abc: 9.192 16.628 6.012
angles: 90.00 124.01 90.00
Space group C2/m (No. 12)
Asymmetric unit:
Nd (0.000, 0.206, 0.000) [4 per cell]
Nd (0.075, 0.500, 0.796) [4 per cell]
Nd (0.217, 0.119, 0.682) [8 per cell]
Y (0.000, 0.000, 0.000) [2 per cell]
Er (0.000, 0.311, 0.500) [4 per cell]

***

Here is crystalline Nd6Y16Er7 at its relaxed geometry from Alexandria. Energies are from PBE.

abc: 15.865 15.865 15.865
angles: 90.00 90.00 90.00
Space group Fm-3m (No. 225)
Asymmetric unit:
Nd (0.000, 0.000, 0.217) [24 per cell]
Y (0.122, 0.122, 0.378) [32 per cell]
Y (0.155, 0.155, 0.155) [32 per cell]
Er (0.000, 0.000, 0.500) [4 per cell]
Er (0.000, 0.250, 0.250) [24 per cell]

***

Here is crystalline Nd4Y2Er at its relaxed geometry from Alexandria. Energies are from PBE.

abc: 3.602 22.054 12.320
angles: 90.00 90.00 90.00
Space group Cmcm (No. 63)
Asymmetric unit:
Nd (0.000, 0.000, 0.000) [4 per cell]
Nd (0.000, 0.238, 0.122) [8 per cell]
Nd (0.000, 0.439, 0.750) [4 per cell]
Y (0.000, 0.373, 0.011) [8 per cell]
Er (0.000, 0.104, 0.750) [4 per cell]

***

Here is crystalline Nd7Y16Er6 at its relaxed geometry from Alexandria. Energies are from PBE.

abc: 15.692 15.692 15.692
angles: 90.00 90.00 90.00
Space group Fm-3m (No. 225)
Asymmetric unit:
Nd (0.000, 0.000, 0.000) [4 per cell]
Nd (0.000, 0.250, 0.250) [24 per cell]
Y (0.113, 0.113, 0.387) [32 per cell]
Y (0.150, 0.150, 0.150) [32 per cell]
Er (0.000, 0.000, 0.225) [24 per cell]

***

Number 1: energy of formation from the pure elements 129 meV/atom. Number 2: energy of formation from the pure elements 272 meV/atom. Number 3: energy of formation from the pure elements 135 meV/atom. Number 4: energy of formation from the pure elements 237 meV/atom. Number 5: energy of formation from the pure elements 202 meV/atom. Number 6: energy of formation from the pure elements 183 meV/atom.